Material: MnSn2SbO8
Method: DFT, PBE+U
State: relaxed

Output
* electronic total energy: -6.408 eV/atom
* volume: 11.8 Å³/atom
* SG: No. 65
* magnetization: 2.00 μB per formula unit

```
MnSn2SbO8
1.0
-4.2882 1.4594 -1.3632
0.9700 -1.3628 -4.4211
-2.3539 -5.7446 1.2543
O Sn Mn Sb
8 2 1 1
direct
0.1861 0.8127 0.2497
0.8139 0.1873 0.2497
0.2964 0.2953 0.5000
0.3042 0.3029 0.0000
0.7036 0.7047 0.5000
0.6958 0.6971 0.0000
0.1861 0.8127 0.7503
0.8139 0.1873 0.7503
0.5000 0.5000 0.7433
0.5000 0.5000 0.2567
0.0000 0.0000 0.5000
0.0000 0.0000 0.0000
```